The following is a DFT calculation (GGA-PBE) of a relaxed structure of Mg2SnH.

Unit cell a=3.2273 b=3.2273 c=7.0975 alpha=90.00 beta=90.00 gamma=90.00
Closest atoms and distances in Å follow each position.
Space group P4/mmm (No. 123)
One atom of each set of equivalent atoms:
Mg 0.0000 0.0000 0.1987 (multiplicity 2)  4 H 2.68, 1 Mg 2.82
Sn 0.5000 0.5000 0.5000 (multiplicity 1)  8 Mg 3.13, 4 Sn 3.23
H 0.5000 0.5000 0.0000 (multiplicity 1)  8 Mg 2.68

Summary:
- Energy: -2.470 eV per atom
- M_tot: 0.0 μB/cell
- Fermi-level density of states: 1.54 states/eV per cell